DFT (PBE) results for Y6SnTe3Se2 after structural relaxation.

Cell lengths 7.3737, 12.7499, 7.5371 Å; angles 90.00, 109.01, 90.00 degrees
Space group C2/m (No. 12)
Asymmetric unit:
Y 0.2324 0.0000 0.2231
Y 0.2461 0.3293 0.2261
Sn 0.0000 0.5000 0.0000
Te 0.0000 0.0000 0.5000
Te 0.0000 0.3363 0.5000
Se 0.0000 0.1674 0.0000

Summary:
E_tot: -6.34 eV per atom
ΔE_f (raw): -1.41 eV per atom

=====

DFT (PBE) results for Y6Sn2Te3Se after structural relaxation.

Cell lengths 18.9785, 4.3378, 8.7263 Å; angles 90.00, 103.83, 90.00 degrees
Space group C2/m (No. 12)
Asymmetric unit:
Y 0.0037 0.0000 0.2345
Y 0.1605 0.5000 0.0882
Y 0.1685 0.5000 0.5745
Sn 0.1662 0.0000 0.3303
Te 0.0000 0.5000 0.5000
Te 0.1663 0.0000 0.8337
Se 0.0000 0.5000 0.0000

Summary:
E_tot: -6.22 eV per atom
ΔE_f (raw): -1.25 eV per atom

=====

DFT (PBE) results for YSnTeSe2 after structural relaxation.

Cell lengths 5.3930, 5.3930, 5.9516 Å; angles 90.00, 90.00, 90.00 degrees
Space group P4/mmm (No. 123)
Asymmetric unit:
Y 0.0000 0.0000 0.0000
Sn 0.5000 0.5000 0.5000
Te 0.0000 0.0000 0.5000
Se 0.0000 0.5000 0.0000

Summary:
E_tot: -4.57 eV per atom
ΔE_f (raw): -0.45 eV per atom

=====

DFT (PBE) results for Y6SnTe2Se3 after structural relaxation.

Cell lengths 7.3327, 12.6754, 7.3751 Å; angles 90.00, 109.29, 90.00 degrees
Space group C2/m (No. 12)
Asymmetric unit:
Y 0.2300 0.0000 0.2266
Y 0.2490 0.3387 0.2282
Sn 0.0000 0.0000 0.5000
Te 0.0000 0.3340 0.5000
Se 0.0000 0.1708 0.0000
Se 0.0000 0.5000 0.0000

Summary:
E_tot: -6.43 eV per atom
ΔE_f (raw): -1.47 eV per atom

=====

DFT (PBE) results for Th2SnSe5 after structural relaxation.

Cell lengths 7.9990, 12.7178, 4.1960 Å; angles 90.00, 90.00, 90.00 degrees
Space group Pbam (No. 55)
Asymmetric unit:
Th 0.0174 0.1780 0.0000
Sn 0.0000 0.5000 0.5000
Se 0.0000 0.0000 0.5000
Se 0.1666 0.3880 0.0000
Se 0.1886 0.6978 0.5000

Summary:
E_tot: -5.85 eV per atom
ΔE_f (raw): -1.32 eV per atom

=====

DFT (PBE) results for Th2SnSe after structural relaxation.

Cell lengths 3.6229, 3.6229, 8.1031 Å; angles 90.00, 90.00, 90.00 degrees
Space group P4/mmm (No. 123)
Asymmetric unit:
Th 0.0000 0.0000 0.2350
Sn 0.5000 0.5000 0.5000
Se 0.5000 0.5000 0.0000

Summary:
E_tot: -6.50 eV per atom
ΔE_f (raw): -0.92 eV per atom

=====

DFT (PBE) results for Th6SnSe5 after structural relaxation.

Cell lengths 7.3379, 12.8599, 7.4160 Å; angles 90.00, 109.73, 90.00 degrees
Space group C2/m (No. 12)
Asymmetric unit:
Th 0.2357 0.0000 0.2496
Th 0.2399 0.1720 0.7393
Sn 0.0000 0.5000 0.0000
Se 0.0000 0.0000 0.5000
Se 0.0000 0.1700 0.0000
Se 0.0000 0.3436 0.5000

Summary:
E_tot: -6.86 eV per atom
ΔE_f (raw): -1.37 eV per atom

=====

DFT (PBE) results for Th2SnSe after structural relaxation.

Cell lengths 4.2279, 4.2279, 23.4463 Å; angles 90.00, 90.00, 120.00 degrees
Space group R3m (No. 160, hexagonal axes)
Asymmetric unit:
Th 0.0000 0.0000 0.0000
Th 0.0000 0.0000 0.1680
Sn 0.0000 0.0000 0.5833
Se 0.0000 0.0000 0.7518

Summary:
E_tot: -6.47 eV per atom
ΔE_f (raw): -0.89 eV per atom

=====

DFT (PBE) results for Th2SnSe after structural relaxation.

Cell lengths 4.4277, 4.4277, 20.9773 Å; angles 90.00, 90.00, 120.00 degrees
Space group R-3m (No. 166, hexagonal axes)
Asymmetric unit:
Th 0.0000 0.0000 0.2436
Sn 0.0000 0.0000 0.0000
Se 0.0000 0.0000 0.5000

Summary:
E_tot: -6.60 eV per atom
ΔE_f (raw): -1.02 eV per atom

=====

DFT (PBE) results for Th4SnSe3 after structural relaxation.

Cell lengths 4.3702, 6.0785, 8.4387 Å; angles 90.00, 90.00, 90.00 degrees
Space group Pmmm (No. 47)
Asymmetric unit:
Th 0.0000 0.0000 0.0000
Th 0.0000 0.0000 0.5000
Th 0.5000 0.5000 0.2351
Sn 0.0000 0.5000 0.5000
Se 0.0000 0.5000 0.0000
Se 0.5000 0.0000 0.2495

Summary:
E_tot: -6.78 eV per atom
ΔE_f (raw): -1.27 eV per atom

=====

DFT (PBE) results for ThSnSe after structural relaxation.

Cell lengths 4.2135, 4.2135, 18.0263 Å; angles 90.00, 90.00, 90.00 degrees
Space group I4/mmm (No. 139)
Asymmetric unit:
Th 0.0000 0.0000 0.1439
Sn 0.0000 0.5000 0.0000
Se 0.0000 0.0000 0.3134

Summary:
E_tot: -6.19 eV per atom
ΔE_f (raw): -1.22 eV per atom

=====

DFT (PBE) results for Th5SnSe4 after structural relaxation.

Cell lengths 4.3603, 6.0507, 20.9541 Å; angles 90.00, 90.00, 90.00 degrees
Space group Immm (No. 71)
Asymmetric unit:
Th 0.0000 0.0000 0.0000
Th 0.0000 0.0000 0.1987
Th 0.0000 0.0000 0.3923
Sn 0.0000 0.5000 0.0000
Se 0.0000 0.5000 0.2047
Se 0.0000 0.5000 0.4004

Summary:
E_tot: -6.83 eV per atom
ΔE_f (raw): -1.32 eV per atom

=====

DFT (PBE) results for ThSn2Se4 after structural relaxation.

Cell lengths 16.0269, 4.2995, 7.4846 Å; angles 90.00, 116.69, 90.00 degrees
Space group C2/m (No. 12)
Asymmetric unit:
Th 0.0000 0.0000 0.0000
Sn 0.2306 0.5000 0.7485
Se 0.1107 0.5000 0.2610
Se 0.1347 0.0000 0.8296

Summary:
E_tot: -5.11 eV per atom
ΔE_f (raw): -0.91 eV per atom

=====

DFT (PBE) results for ThSn2Se4 after structural relaxation.

Cell lengths 4.0922, 14.3563, 13.9715 Å; angles 90.00, 90.00, 90.00 degrees
Space group Cmcm (No. 63)
Asymmetric unit:
Th 0.0000 0.1185 0.2500
Sn 0.0000 0.3717 0.0641
Se 0.0000 0.0000 0.0000
Se 0.0000 0.2869 0.6261
Se 0.0000 0.4760 0.2500

Summary:
E_tot: -5.12 eV per atom
ΔE_f (raw): -0.93 eV per atom

=====

DFT (PBE) results for ThTl3Sn2Se6 after structural relaxation.

Cell lengths 7.4480, 12.8993, 8.0325 Å; angles 90.00, 107.82, 90.00 degrees
Space group C2/m (No. 12)
Asymmetric unit:
Th 0.0000 0.0000 0.0000
Tl 0.0000 0.1670 0.5000
Tl 0.0000 0.5000 0.5000
Sn 0.0000 0.3335 0.0000
Se 0.2341 0.1644 0.2099
Se 0.2413 0.5000 0.2104

Summary:
E_tot: -4.37 eV per atom
ΔE_f (raw): -0.75 eV per atom

=====

DFT (PBE) results for Ti2Sn2Se after structural relaxation.

Cell lengths 6.8354, 6.8354, 4.3743 Å; angles 90.00, 90.00, 90.00 degrees
Space group P4/mbm (No. 127)
Asymmetric unit:
Ti 0.1483 0.3517 0.0000
Sn 0.1560 0.6560 0.5000
Se 0.0000 0.0000 0.0000

Summary:
E_tot: -5.81 eV per atom
ΔE_f (raw): -0.36 eV per atom

=====

DFT (PBE) results for Ti4Sn2Se after structural relaxation.

Cell lengths 4.5374, 4.5374, 14.6501 Å; angles 90.00, 90.00, 90.00 degrees
Space group I4/mmm (No. 139)
Asymmetric unit:
Ti 0.0000 0.0000 0.1695
Ti 0.0000 0.5000 0.0000
Sn 0.0000 0.0000 0.3586
Se 0.0000 0.0000 0.0000

Summary:
E_tot: -6.22 eV per atom
ΔE_f (raw): -0.07 eV per atom

=====

DFT (PBE) results for TiSnSe4 after structural relaxation.

Cell lengths 6.6481, 3.6362, 7.1928 Å; angles 90.00, 105.30, 90.00 degrees
Space group P2/m (No. 10)
Asymmetric unit:
Ti 0.0000 0.0000 0.0000
Sn 0.5000 0.5000 0.0000
Se 0.2167 0.5000 0.2226
Se 0.2434 0.0000 0.7721

Summary:
E_tot: -4.98 eV per atom
ΔE_f (raw): -0.68 eV per atom

=====

DFT (PBE) results for Ti4SnSe after structural relaxation.

Cell lengths 13.6517, 5.1756, 6.5536 Å; angles 90.00, 103.90, 90.00 degrees
Space group C2/c (No. 15)
Asymmetric unit:
Ti 0.0751 0.1037 0.4321
Ti 0.1741 0.3612 0.1272
Sn 0.0000 0.3882 0.7500
Se 0.2500 0.2500 0.5000

Summary:
E_tot: -6.83 eV per atom
ΔE_f (raw): -0.32 eV per atom

=====

DFT (PBE) results for TiSn2Se6 after structural relaxation.

Cell lengths 17.6201, 3.7373, 8.2025 Å; angles 90.00, 108.15, 90.00 degrees
Space group C2/m (No. 12)
Asymmetric unit:
Ti 0.0000 0.0000 0.0000
Sn 0.1647 0.5000 0.3323
Se 0.9996 0.5000 0.2214
Se 0.1555 0.0000 0.0850
Se 0.1693 0.0000 0.5741

Summary:
E_tot: -4.64 eV per atom
ΔE_f (raw): -0.55 eV per atom

=====

DFT (PBE) results for TiSn3Se after structural relaxation.

Cell lengths 5.3283, 5.3283, 5.3283 Å; angles 90.00, 90.00, 90.00 degrees
Space group Pm-3m (No. 221)
Asymmetric unit:
Ti 0.0000 0.0000 0.0000
Sn 0.0000 0.0000 0.5000
Se 0.5000 0.5000 0.5000

Summary:
E_tot: -4.35 eV per atom
ΔE_f (raw): 0.33 eV per atom

=====

DFT (PBE) results for Ti2SnSe2 after structural relaxation.

Cell lengths 4.6455, 4.6455, 9.7057 Å; angles 90.00, 90.00, 90.00 degrees
Space group I4/mmm (No. 139)
Asymmetric unit:
Ti 0.0000 0.5000 0.2500
Sn 0.0000 0.0000 0.0000
Se 0.0000 0.0000 0.3506

Summary:
E_tot: -5.93 eV per atom
ΔE_f (raw): -0.58 eV per atom

=====

DFT (PBE) results for Ti8SnSe2 after structural relaxation.

Cell lengths 7.4387, 11.3213, 4.8209 Å; angles 90.00, 107.69, 90.00 degrees
Space group C2/m (No. 12)
Asymmetric unit:
Ti 0.0000 0.2478 0.0000
Ti 0.1007 0.5000 0.8270
Ti 0.2023 0.1170 0.6029
Sn 0.0000 0.0000 0.0000
Se 0.0000 0.3114 0.5000

Summary:
E_tot: -7.15 eV per atom
ΔE_f (raw): -0.41 eV per atom

=====

DFT (PBE) results for Ti3SnSe after structural relaxation.

Cell lengths 4.6984, 4.6984, 4.6984 Å; angles 90.00, 90.00, 90.00 degrees
Space group Pm-3m (No. 221)
Asymmetric unit:
Ti 0.0000 0.0000 0.5000
Sn 0.5000 0.5000 0.5000
Se 0.0000 0.0000 0.0000

Summary:
E_tot: -6.32 eV per atom
ΔE_f (raw): -0.09 eV per atom